No. 1
A plane-wave DFT calculation with PBE was carried out for crystalline NaCuF2 at its relaxed geometry.

For the size of the total moment, the calculation gives 0.1 μB/f.u. The calculation puts the formation energy (no corrections) at -1609 meV/atom.

The structure belongs to space group P4/mmm (No. 123); the cell edges are 2.763, 2.763 and 5.798 Å and the angles 90.00°, 90.00° and 90.00°. The asymmetric unit holds Na at (0.000, 0.000, 0.000), Cu at (0.000, 0.000, 0.500) and F at (0.500, 0.500, 0.241).

No. 2
A plane-wave DFT calculation with PBE was carried out for crystalline SrPm2S3 at its relaxed geometry.

For the size of the total moment, the calculation gives 0.0 μB/f.u. The calculation puts the formation energy (no corrections) at -2036 meV/atom.

The structure belongs to space group Immm (No. 71); the cell edges are 4.075, 5.791 and 12.383 Å and the angles 90.00°, 90.00° and 90.00°. The asymmetric unit holds Sr at (0.000, 0.000, 0.000), Pm at (0.000, 0.000, 0.335), S at (0.000, 0.500, 0.000) and S at (0.000, 0.500, 0.329).

No. 3
A plane-wave DFT calculation with PBE was carried out for crystalline CePr2PuTc2 at its relaxed geometry.

The calculation puts the energy of formation at 0.07 eV per atom. For the size of the total moment, the calculation gives 4.1 μB/f.u.

The structure belongs to space group Ibam (No. 72); the cell edges are 7.191, 12.553 and 7.153 Å and the angles 90.00°, 90.00° and 90.00°. The asymmetric unit holds Ce at (0.000, 0.000, 0.250), Pr at (0.210, 0.303, 0.000), Pu at (0.000, 0.500, 0.250) and Tc at (0.242, 0.438, 0.500).

No. 4
A plane-wave DFT calculation with PBE was carried out for crystalline RbSb2Se at its relaxed geometry.

For the size of the total moment, the calculation gives 0.0 μB/f.u. The calculation puts the formation energy (no corrections) at -413 meV/atom.

The structure belongs to space group Pm (No. 6); the cell edges are 7.005, 6.339 and 9.724 Å and the angles 90.00°, 103.90° and 90.00°. The asymmetric unit holds Rb at (0.000, 0.000, 0.000), Rb at (0.475, 0.500, 0.903), Sb at (0.565, 0.000, 0.302), Sb at (0.747, 0.500, 0.599), Sb at (0.925, 0.230, 0.420), Se at (0.515, 0.000, 0.033) and Se at (0.966, 0.500, 0.849).

No. 5
A plane-wave DFT calculation with PBE was carried out for crystalline AlSb2Ir at its relaxed geometry.

For the size of the total moment, the calculation gives 0.0 μB/f.u. The calculation puts the formation energy (no corrections) at 325 meV/atom.

The structure belongs to space group P4/mmm (No. 123); the cell edges are 4.553, 4.553 and 3.884 Å and the angles 90.00°, 90.00° and 90.00°. The asymmetric unit holds Al at (0.000, 0.000, 0.000), Sb at (0.000, 0.500, 0.500) and Ir at (0.500, 0.500, 0.000).

No. 6
A plane-wave DFT calculation with PBE was carried out for crystalline Sr8Mg3Hg2 at its relaxed geometry.

The calculation puts the energy of formation at -0.11 eV per atom. For the size of the total moment, the calculation gives 0.0 μB/f.u.

The structure belongs to space group Cmmm (No. 65); the cell edges are 9.545, 18.153 and 6.122 Å and the angles 90.00°, 90.00° and 90.00°. The asymmetric unit holds Sr at (0.000, 0.105, 0.000), Sr at (0.000, 0.312, 0.000), Sr at (0.219, 0.380, 0.500), Mg at (0.000, 0.000, 0.500), Mg at (0.167, 0.500, 0.000) and Hg at (0.000, 0.228, 0.500).

No. 7
A plane-wave DFT calculation with PBE was carried out for crystalline LaSc2Al at its relaxed geometry.

The calculation puts the energy of formation at 0.12 eV per atom. For the size of the total moment, the calculation gives 0.0 μB/f.u.

The structure belongs to space group I-42d (No. 122); the cell edges are 4.457, 4.457 and 21.166 Å and the angles 90.00°, 90.00° and 90.00°. The asymmetric unit holds La at (0.000, 0.000, 0.000), Sc at (0.229, 0.250, 0.625) and Al at (0.000, 0.000, 0.500).

No. 8
A plane-wave DFT calculation with PBE was carried out for crystalline PrZnGe2Ir at its relaxed geometry.

The calculation puts the energy of formation at -0.57 eV per atom. For the size of the total moment, the calculation gives 0.0 μB/f.u.

The structure belongs to space group I-4m2 (No. 119); the cell edges are 4.163, 4.163 and 10.913 Å and the angles 90.00°, 90.00° and 90.00°. The asymmetric unit holds Pr at (0.000, 0.000, 0.000), Zn at (0.000, 0.500, 0.250), Ge at (0.000, 0.000, 0.382) and Ir at (0.000, 0.500, 0.750).

No. 9
A plane-wave DFT calculation with PBE was carried out for crystalline Na3GePd4 at its relaxed geometry.

The calculation puts the energy of formation at -0.23 eV per atom. For the size of the total moment, the calculation gives 0.0 μB/f.u.

The structure belongs to space group Imm2 (No. 44); the cell edges are 5.514, 7.198 and 8.795 Å and the angles 90.00°, 90.00° and 90.00°. The asymmetric unit holds Na at (0.000, 0.000, 0.000), Na at (0.000, 0.237, 0.639), Ge at (0.000, 0.500, 0.079), Pd at (0.000, 0.309, 0.296) and Pd at (0.245, 0.000, 0.362).

No. 10
A plane-wave DFT calculation with PBE was carried out for crystalline KBe2Tc2 at its relaxed geometry.

Its offset from the most stable computed form is 237 meV/atom. The calculation puts the energy of formation at 0.82 eV per atom. For the size of the total moment, the calculation gives 0.0 μB/f.u.

The structure belongs to space group I4/mmm (No. 139); the cell edges are 4.457, 4.457 and 8.237 Å and the angles 90.00°, 90.00° and 90.00°. The asymmetric unit holds K at (0.000, 0.000, 0.000), Be at (0.000, 0.500, 0.250) and Tc at (0.000, 0.000, 0.359).